No. 1
# Ce2EuOs

A relaxed Ce2EuOs crystal (PBE-GGA, Alexandria).

The formation energy is 29 meV/atom. Its energy above the most stable polymorph in this dataset is 0 meV/atom. As for the final energy: -8.314 eV per atom. The volume is 110 Å³/cell.

The space group is P4/mmm (No. 123) and the conventional cell measures 3.621, 3.621 and 8.411 Å, with angles of 90.00, 90.00 and 90.00 degrees. Symmetry generates all atoms from Ce at (0.000, 0.000, 0.182), Eu at (0.500, 0.500, 0.500) and Os at (0.500, 0.500, 0.000).

=====

No. 2
# Ce3EuOs

A relaxed Ce3EuOs crystal (PBE-GGA, Alexandria).

The formation energy is 44 meV/atom. As for the final energy: -7.817 eV per atom. The volume is 170 Å³/cell.

The space group is Pm-3m (No. 221) and the conventional cell measures 5.536, 5.536 and 5.536 Å, with angles of 90.00, 90.00 and 90.00 degrees. Symmetry generates all atoms from Ce at (0.000, 0.000, 0.500), Eu at (0.500, 0.500, 0.500) and Os at (0.000, 0.000, 0.000).

=====

No. 3
# CeEuZnOs

A relaxed CeEuZnOs crystal (PBE-GGA, Alexandria).

The formation energy is -29 meV/atom. As for the final energy: -7.207 eV per atom. The volume is 354 Å³/cell.

The space group is F-43m (No. 216) and the conventional cell measures 7.071, 7.071 and 7.071 Å, with angles of 90.00, 90.00 and 90.00 degrees. Symmetry generates all atoms from Ce at (0.000, 0.000, 0.000), Eu at (0.000, 0.000, 0.500), Zn at (0.250, 0.250, 0.250) and Os at (0.250, 0.250, 0.750).

=====

No. 4
# CeEuP

A relaxed CeEuP crystal (PBE-GGA, Alexandria).

The formation energy is -717 meV/atom. Its energy above the most stable polymorph in this dataset is 80 meV/atom. As for the final energy: -7.923 eV per atom. The volume is 171 Å³/cell.

The space group is I4mm (No. 107) and the conventional cell measures 3.643, 3.643 and 12.878 Å, with angles of 90.00, 90.00 and 90.00 degrees. Symmetry generates all atoms from Ce at (0.000, 0.000, 0.000), Eu at (0.000, 0.000, 0.755) and P at (0.000, 0.000, 0.395).